The following is a PBE calculation of a relaxed structure of Nd4Y5Er2, from the Alexandria database.

Lattice parameters (Å, degrees): 24.1706 3.5588 8.6820 90.00 94.61 90.00
Closest atoms and distances in Å follow each position.
Space group C2/m (No. 12)
Symmetry-distinct sites (fractional):
Nd (0.0396, 0.0000, 0.3439)  3 Nd 3.44-3.56, 4 Y 3.52-3.60, 4 Er 3.55-3.65
Nd (0.2244, 0.5000, 0.8261)  1 Er 3.40, 6 Y 3.54-3.60, 4 Nd 3.56-3.63
Y (0.0000, 0.5000, 0.0000)  2 Er 3.52, 4 Nd 3.54, 6 Y 3.56-3.60
Y (0.1300, 0.0000, 0.0452)  4 Nd 3.52-3.60, 5 Y 3.56-3.85, 2 Er 3.59
Y (0.1847, 0.0000, 0.4740)  4 Nd 3.54-3.60, 5 Y 3.56-3.85, 2 Er 3.62
Er (0.0879, 0.5000, 0.6962)  5 Nd 3.40-3.65, 5 Y 3.52-3.62, 2 Er 3.56

Values from the calculation:
Uncorrected energy (eV per atom): -5.40
Density of states at the Fermi level (states/eV/f.u.): 17.9
Total magnetic moment (μB/f.u.): 0.00
Energy of formation from the pure elements (eV/atom): 0.1007
Density (g/cm3): 6.0
Distance to the lowest polymorph of the same formula (meV/atom): 0

***

The following is a PBE calculation of a relaxed structure of Nd6YEr3, from the Alexandria database.

Lattice parameters (Å, degrees): 9.8245 21.4416 6.4446 90.00 90.00 90.00
Closest atoms and distances in Å follow each position.
Space group Cmc2_1 (No. 36)
Symmetry-distinct sites (fractional):
Nd (0.0000, 0.0155, 0.0000)  2 Nd 3.29, 1 Y 3.32, 4 Er 3.52-3.63
Nd (0.0000, 0.3013, 0.9900)  1 Er 3.17, 1 Y 3.38, 2 Nd 3.55
Nd (0.1743, 0.2804, 0.5131)  2 Er 3.32-3.51, 3 Nd 3.42-3.65, 2 Y 3.68-3.72
Nd (0.1800, 0.4401, 0.7622)  3 Er 3.40-3.59, 4 Nd 3.54-3.78, 1 Y 3.79
Y (0.0000, 0.1573, 0.2053)  4 Nd 3.32-3.68, 2 Er 3.56
Er (0.0000, 0.4201, 0.2824)  3 Nd 3.17-3.48, 2 Er 3.46
Er (0.1679, 0.1250, 0.6830)  2 Er 3.30-3.46, 5 Nd 3.32-3.63, 1 Y 3.56

Values from the calculation:
Uncorrected energy (eV per atom): -4.75
Density of states at the Fermi level (states/eV/f.u.): 16.1
Total magnetic moment (μB/f.u.): 0.00
Energy of formation from the pure elements (eV/atom): 0.1253
Density (g/cm3): 7.1

***

The following is a PBE calculation of a relaxed structure of Nd4YEr6, from the Alexandria database.

Lattice parameters (Å, degrees): 6.6455 6.6455 17.0182 90.00 90.00 90.00
Closest atoms and distances in Å follow each position.
Space group I-42m (No. 121)
Symmetry-distinct sites (fractional):
Nd (0.1895, 0.1895, 0.1761)  5 Er 3.39-3.62, 1 Y 3.49, 1 Nd 3.56
Y (0.0000, 0.0000, 0.0000)  8 Er 3.32-3.70, 4 Nd 3.49
Er (0.0000, 0.5000, 0.0000)  4 Er 3.24, 2 Y 3.32
Er (0.1780, 0.1780, 0.3754)  3 Er 3.24-3.35, 5 Nd 3.39-3.62

Values from the calculation:
Uncorrected energy (eV per atom): -4.51
Density of states at the Fermi level (states/eV/f.u.): 13.9
Total magnetic moment (μB/f.u.): 0.00
Energy of formation from the pure elements (eV/atom): 0.3002
Density (g/cm3): 7.4
Distance to the lowest polymorph of the same formula (meV/atom): 138

***

The following is a PBE calculation of a relaxed structure of Nd4Y2Er5, from the Alexandria database.

Lattice parameters (Å, degrees): 19.2103 5.6646 6.6162 90.00 91.10 90.00
Closest atoms and distances in Å follow each position.
Space group C2/m (No. 12)
Symmetry-distinct sites (fractional):
Nd (0.0205, 0.0000, 0.2859)  1 Nd 2.95, 1 Er 3.10
Nd (0.1946, 0.5000, 0.0730)  6 Er 3.31-3.68, 2 Nd 3.68
Y (0.0987, 0.5000, 0.5544)  6 Er 3.54-3.70, 6 Nd 3.65-3.86, 1 Y 3.84
Er (0.0000, 0.5000, 0.0000)  6 Nd 3.42-3.76, 2 Y 3.54
Er (0.1303, 0.0000, 0.8905)  5 Nd 3.10-3.39
Er (0.2088, 0.0000, 0.4021)  4 Er 3.48-3.68, 4 Nd 3.58-3.68, 3 Y 3.69-3.70

Values from the calculation:
Uncorrected energy (eV per atom): -4.88
Density of states at the Fermi level (states/eV/f.u.): 16.5
Total magnetic moment (μB/f.u.): 0.00
Energy of formation from the pure elements (eV/atom): 0.0992
Density (g/cm3): 7.3
Distance to the lowest polymorph of the same formula (meV/atom): 11

***

The following is a PBE calculation of a relaxed structure of Nd4YEr6, from the Alexandria database.

Lattice parameters (Å, degrees): 10.9576 10.9576 3.5406 90.00 90.00 120.00
Closest atoms and distances in Å follow each position.
Space group P-6m2 (No. 187)
Symmetry-distinct sites (fractional):
Nd (0.0000, 0.0000, 0.0000)  3 Er 3.10
Nd (0.0545, 0.5272, 0.5000)  6 Er 3.46-3.47, 2 Nd 3.54
Y (0.6667, 0.3333, 0.0000)  2 Y 3.54, 6 Er 3.67
Er (0.1636, 0.3271, 0.0000)  5 Nd 3.10-3.46
Er (0.3274, 0.1637, 0.5000)  4 Nd 3.47-3.58, 6 Er 3.54-3.57, 2 Y 3.67

Values from the calculation:
Uncorrected energy (eV per atom): -4.65
Density of states at the Fermi level (states/eV/f.u.): 18.9
Total magnetic moment (μB/f.u.): 0.00
Energy of formation from the pure elements (eV/atom): 0.1626
Density (g/cm3): 7.5
Distance to the lowest polymorph of the same formula (meV/atom): 0

***

The following is a PBE calculation of a relaxed structure of Nd2YEr, from the Alexandria database.

Lattice parameters (Å, degrees): 3.6280 3.6280 35.0803 90.00 90.00 120.00
Closest atoms and distances in Å follow each position.
Space group R3m (No. 160, hexagonal axes)
Symmetry-distinct sites (fractional):
Nd (0.0000, 0.0000, 0.0000)  3 Er 3.57, 3 Y 3.60, 6 Nd 3.63
Nd (0.0000, 0.0000, 0.1675)  3 Er 3.60, 3 Y 3.61, 6 Nd 3.63
Y (0.0000, 0.0000, 0.4170)  6 Nd 3.60-3.61, 6 Y 3.63
Er (0.0000, 0.0000, 0.5843)  6 Nd 3.57-3.60, 6 Er 3.63

Values from the calculation:
Uncorrected energy (eV per atom): -5.12
Density of states at the Fermi level (states/eV/f.u.): 5.8
Total magnetic moment (μB/f.u.): 0.00
Energy of formation from the pure elements (eV/atom): 0.0183
Density (g/cm3): 6.8
Distance to the lowest polymorph of the same formula (meV/atom): 6

***

Repeat the fourth record exactly.
The following is a PBE calculation of a relaxed structure of Nd4Y2Er5, from the Alexandria database.

Lattice parameters (Å, degrees): 19.2103 5.6646 6.6162 90.00 91.10 90.00
Closest atoms and distances in Å follow each position.
Space group C2/m (No. 12)
Symmetry-distinct sites (fractional):
Nd (0.0205, 0.0000, 0.2859)  1 Nd 2.95, 1 Er 3.10
Nd (0.1946, 0.5000, 0.0730)  6 Er 3.31-3.68, 2 Nd 3.68
Y (0.0987, 0.5000, 0.5544)  6 Er 3.54-3.70, 6 Nd 3.65-3.86, 1 Y 3.84
Er (0.0000, 0.5000, 0.0000)  6 Nd 3.42-3.76, 2 Y 3.54
Er (0.1303, 0.0000, 0.8905)  5 Nd 3.10-3.39
Er (0.2088, 0.0000, 0.4021)  4 Er 3.48-3.68, 4 Nd 3.58-3.68, 3 Y 3.69-3.70

Values from the calculation:
Uncorrected energy (eV per atom): -4.88
Density of states at the Fermi level (states/eV/f.u.): 16.5
Total magnetic moment (μB/f.u.): 0.00
Energy of formation from the pure elements (eV/atom): 0.0992
Density (g/cm3): 7.3
Distance to the lowest polymorph of the same formula (meV/atom): 11

***

Q: Look up the energy of formation from the pure elements of the second one.
A: 0.1253 eV/atom

***

Q: What is the energy of formation from the pure elements in the fifth record?
A: 0.1626 eV/atom

***

Q: What is the formula in the second record?
A: Nd6YEr3